<i>
## SbAsPd (PBE)

Data for a relaxed structure of SbAsPd.

Values from the calculation:
Space group = P2_13, No. 198

a b c (Å): 6.2996 6.2996 6.2996
angles (deg): 90.00 90.00 90.00
With the nearest neighbours (Å) after each atom.
Positions (direct):
As1 0.8743 0.1257 0.6257  3 Pd 2.56, 1 Sb 2.67
As2 0.1257 0.6257 0.8743  3 Pd 2.56, 1 Sb 2.67
As3 0.6257 0.8743 0.1257  3 Pd 2.56, 1 Sb 2.67
As4 0.3743 0.3743 0.3743  3 Pd 2.56, 1 Sb 2.67
Sb1 0.8812 0.3812 0.1188  1 As 2.67, 3 Pd 2.68
Sb2 0.3812 0.1188 0.8812  1 As 2.67, 3 Pd 2.68
Sb3 0.6188 0.6188 0.6188  1 As 2.67, 3 Pd 2.68
Sb4 0.1188 0.8812 0.3812  1 As 2.67, 3 Pd 2.68
Pd1 0.0091 0.4909 0.5091  3 As 2.56, 3 Sb 2.68
Pd2 0.5091 0.0091 0.4909  3 As 2.56, 3 Sb 2.68
Pd3 0.4909 0.5091 0.0091  3 As 2.56, 3 Sb 2.68
Pd4 0.9909 0.9909 0.9909  3 As 2.56, 3 Sb 2.68

<ii>
## SbAsPd (PBE)

Data for a relaxed structure of SbAsPd.

Values from the calculation:
Space group = Pnma, No. 62

a b c (Å): 7.8665 3.6756 8.3047
angles (deg): 90.00 90.00 90.00
With the nearest neighbours (Å) after each atom.
Positions (direct):
Pd1 0.1853 0.7500 0.1676  3 As 2.66-2.82, 3 Sb 2.77-2.81
Pd2 0.6853 0.7500 0.3324  3 As 2.66-2.82, 3 Sb 2.77-2.81
Pd3 0.3147 0.2500 0.6676  3 As 2.66-2.82, 3 Sb 2.77-2.81
Pd4 0.8147 0.2500 0.8324  3 As 2.66-2.82, 3 Sb 2.77-2.81
As1 0.8758 0.2500 0.5168  3 Pd 2.66-2.82, 2 As 2.70
As2 0.6242 0.7500 0.0168  3 Pd 2.66-2.82, 2 As 2.70
As3 0.3758 0.2500 0.9832  3 Pd 2.66-2.82, 2 As 2.70
As4 0.1242 0.7500 0.4832  3 Pd 2.66-2.82, 2 As 2.70
Sb1 0.0785 0.7500 0.8445  5 Pd 2.77-3.00, 1 As 3.02
Sb2 0.5785 0.7500 0.6555  5 Pd 2.77-3.00, 1 As 3.02
Sb3 0.4215 0.2500 0.3445  5 Pd 2.77-3.00, 1 As 3.02
Sb4 0.9215 0.2500 0.1555  5 Pd 2.77-3.00, 1 As 3.02

The structure shown above that is least stable: <ii>.